[1]
Here is a relaxed Tb2Y3Rh2 crystal from the Alexandria database. Energies are from PBE-GGA. Values from VASP.

Output
Formation enthalpy at 0 K = -0.56 eV/atom
Energy = -47.29 eV for the cell shown
Space-group type = C2/m, No. 12

Cell and atoms, written as Quantum ESPRESSO input:
```
&SYSTEM
  ibrav = 0, nat = 7, ntyp = 3
/
ATOMIC_SPECIES
Tb 158.93 Tb.upf
Y 88.91 Y.upf
Rh 102.91 Rh.upf
ATOMIC_POSITIONS crystal
Tb 0.168 0.168 0.308
Tb 0.832 0.832 0.692
Y 0.385 0.385 0.071
Y 0.500 0.500 0.500
Y 0.615 0.615 0.929
Rh 0.179 0.179 0.740
Rh 0.821 0.821 0.260
CELL_PARAMETERS angstrom
6.062 -1.893 0.000
6.062 1.893 0.000
-3.926 0.000 8.071
```


[2]
Here is a relaxed Tb3YRh3 crystal from the Alexandria database. Energies are from PBE-GGA. Values from VASP.

Output
Formation enthalpy at 0 K = -0.70 eV/atom
Energy = -94.56 eV for the cell shown
Space-group type = C2/m, No. 12

Cell and atoms, written as Quantum ESPRESSO input:
```
&SYSTEM
  ibrav = 0, nat = 14, ntyp = 3
/
ATOMIC_SPECIES
Tb 158.93 Tb.upf
Y 88.91 Y.upf
Rh 102.91 Rh.upf
ATOMIC_POSITIONS crystal
Tb 0.243 0.757 0.000
Tb 0.245 0.245 0.501
Tb 0.245 0.755 0.500
Tb 0.755 0.245 0.500
Tb 0.755 0.755 0.499
Tb 0.757 0.243 0.000
Y 0.248 0.248 0.001
Y 0.752 0.752 0.999
Rh 0.000 0.000 0.252
Rh 0.000 0.000 0.748
Rh 0.000 0.500 0.250
Rh 0.000 0.500 0.750
Rh 0.500 0.000 0.250
Rh 0.500 0.000 0.750
CELL_PARAMETERS angstrom
4.898 -4.923 0.000
4.898 4.923 0.000
-0.008 0.000 6.749
```


[3]
Here is a relaxed TbZnRh3 crystal from the Alexandria database. Energies are from PBE-GGA. Values from VASP.

Output
Formation enthalpy at 0 K = -0.04 eV/atom
Energy = -56.30 eV for the cell shown
Space-group type = Cmcm, No. 63

Cell and atoms, written as Quantum ESPRESSO input:
```
&SYSTEM
  ibrav = 0, nat = 10, ntyp = 3
/
ATOMIC_SPECIES
Tb 158.93 Tb.upf
Zn 65.41 Zn.upf
Rh 102.91 Rh.upf
ATOMIC_POSITIONS crystal
Tb 0.081 0.919 0.750
Tb 0.919 0.081 0.250
Zn 0.360 0.640 0.750
Zn 0.640 0.360 0.250
Rh 0.037 0.484 0.250
Rh 0.484 0.037 0.750
Rh 0.500 0.500 0.000
Rh 0.500 0.500 0.500
Rh 0.516 0.963 0.250
Rh 0.963 0.516 0.750
CELL_PARAMETERS angstrom
2.495 -8.327 0.000
2.495 8.327 0.000
0.000 0.000 4.828
```


[4]
Here is a relaxed TbZn2Rh2 crystal from the Alexandria database. Energies are from PBE-GGA. Values from VASP.

Output
Formation enthalpy at 0 K = -0.53 eV/atom
Energy = -49.10 eV for the cell shown
Energy above the lowest structure with this stoichiometry = 0.00 eV per formula unit
Space-group type = P4/mbm, No. 127

Cell and atoms, written as Quantum ESPRESSO input:
```
&SYSTEM
  ibrav = 0, nat = 10, ntyp = 3
/
ATOMIC_SPECIES
Tb 158.93 Tb.upf
Zn 65.41 Zn.upf
Rh 102.91 Rh.upf
ATOMIC_POSITIONS crystal
Tb 0.000 0.000 0.000
Tb 0.500 0.500 0.000
Zn 0.120 0.380 0.000
Zn 0.380 0.880 0.000
Zn 0.620 0.120 0.000
Zn 0.880 0.620 0.000
Rh 0.176 0.676 0.500
Rh 0.324 0.176 0.500
Rh 0.676 0.824 0.500
Rh 0.824 0.324 0.500
CELL_PARAMETERS angstrom
7.301 0.000 0.000
0.000 7.301 0.000
0.000 0.000 3.091
```


[5]
Here is a relaxed Tb2Zn16Rh crystal from the Alexandria database. Energies are from PBE-GGA. Values from VASP.

Output
Formation enthalpy at 0 K = -0.28 eV/atom
Energy = -42.22 eV for the cell shown
Space-group type = R3m, No. 160

Cell and atoms, written as Quantum ESPRESSO input:
```
&SYSTEM
  ibrav = 0, nat = 19, ntyp = 3
/
ATOMIC_SPECIES
Tb 158.93 Tb.upf
Zn 65.41 Zn.upf
Rh 102.91 Rh.upf
ATOMIC_POSITIONS crystal
Tb 0.000 0.000 0.000
Tb 0.332 0.332 0.332
Zn 0.023 0.023 0.518
Zn 0.023 0.518 0.023
Zn 0.166 0.675 0.675
Zn 0.316 0.316 0.834
Zn 0.316 0.834 0.316
Zn 0.383 0.674 0.963
Zn 0.383 0.963 0.674
Zn 0.518 0.023 0.023
Zn 0.569 0.569 0.569
Zn 0.674 0.383 0.963
Zn 0.674 0.963 0.383
Zn 0.675 0.166 0.675
Zn 0.675 0.675 0.166
Zn 0.834 0.316 0.316
Zn 0.963 0.383 0.674
Zn 0.963 0.674 0.383
Rh 0.770 0.770 0.770
CELL_PARAMETERS angstrom
4.482 2.587 4.382
-4.482 2.587 4.382
0.000 -5.175 4.382
```


[6]
Here is a relaxed Tb3ZnRh crystal from the Alexandria database. Energies are from PBE-GGA. Values from VASP.

Output
Formation enthalpy at 0 K = -0.37 eV/atom
Energy = -97.52 eV for the cell shown
Energy above the lowest structure with this stoichiometry = 0.57 eV per formula unit
Space-group type = Cmcm, No. 63

Cell and atoms, written as Quantum ESPRESSO input:
```
&SYSTEM
  ibrav = 0, nat = 20, ntyp = 3
/
ATOMIC_SPECIES
Tb 158.93 Tb.upf
Zn 65.41 Zn.upf
Rh 102.91 Rh.upf
ATOMIC_POSITIONS crystal
Tb 0.128 0.128 0.000
Tb 0.128 0.128 0.500
Tb 0.200 0.536 0.508
Tb 0.200 0.536 0.992
Tb 0.464 0.800 0.508
Tb 0.464 0.800 0.992
Tb 0.536 0.200 0.008
Tb 0.536 0.200 0.492
Tb 0.800 0.464 0.008
Tb 0.800 0.464 0.492
Tb 0.872 0.872 0.000
Tb 0.872 0.872 0.500
Zn 0.176 0.824 0.250
Zn 0.490 0.510 0.250
Zn 0.510 0.490 0.750
Zn 0.824 0.176 0.750
Rh 0.071 0.372 0.250
Rh 0.372 0.071 0.750
Rh 0.628 0.929 0.250
Rh 0.929 0.628 0.750
CELL_PARAMETERS angstrom
6.847 -5.365 0.000
6.847 5.365 0.000
0.000 0.000 7.251
```


[7]
Here is a relaxed TbZn2Rh2 crystal from the Alexandria database. Energies are from PBE-GGA. Values from VASP.

Output
Formation enthalpy at 0 K = -0.37 eV/atom
Energy = -47.45 eV for the cell shown
Energy above the lowest structure with this stoichiometry = 0.83 eV per formula unit
Space-group type = C2/c, No. 15

Cell and atoms, written as Quantum ESPRESSO input:
```
&SYSTEM
  ibrav = 0, nat = 10, ntyp = 3
/
ATOMIC_SPECIES
Tb 158.93 Tb.upf
Zn 65.41 Zn.upf
Rh 102.91 Rh.upf
ATOMIC_POSITIONS crystal
Tb 0.125 0.875 0.750
Tb 0.875 0.125 0.250
Zn 0.251 0.502 0.003
Zn 0.498 0.749 0.497
Zn 0.502 0.251 0.503
Zn 0.749 0.498 0.997
Rh 0.208 0.792 0.250
Rh 0.459 0.541 0.750
Rh 0.541 0.459 0.250
Rh 0.792 0.208 0.750
CELL_PARAMETERS angstrom
2.455 -4.604 0.000
2.455 4.604 0.000
-2.442 0.000 8.355
```


[8]
Here is a relaxed TbZn6Rh2 crystal from the Alexandria database. Energies are from PBE-GGA. Values from VASP.

Output
Formation enthalpy at 0 K = -0.23 eV/atom
Energy = -29.06 eV for the cell shown
Space-group type = Immm, No. 71

Cell and atoms, written as Quantum ESPRESSO input:
```
&SYSTEM
  ibrav = 0, nat = 9, ntyp = 3
/
ATOMIC_SPECIES
Tb 158.93 Tb.upf
Zn 65.41 Zn.upf
Rh 102.91 Rh.upf
ATOMIC_POSITIONS crystal
Tb 0.000 0.000 0.000
Zn 0.010 0.321 0.689
Zn 0.337 0.500 0.837
Zn 0.368 0.679 0.689
Zn 0.632 0.321 0.311
Zn 0.663 0.500 0.163
Zn 0.990 0.679 0.311
Rh 0.357 0.857 0.500
Rh 0.643 0.143 0.500
CELL_PARAMETERS angstrom
-1.617 3.599 6.352
1.617 -3.599 6.352
1.617 3.599 -6.352
```


[9]
Here is a relaxed Tb3ZnRh crystal from the Alexandria database. Energies are from PBE-GGA. Values from VASP.

Output
Formation enthalpy at 0 K = -0.49 eV/atom
Energy = -49.90 eV for the cell shown
Energy above the lowest structure with this stoichiometry = 0.00 eV per formula unit
Space-group type = Fmmm, No. 69

Cell and atoms, written as Quantum ESPRESSO input:
```
&SYSTEM
  ibrav = 0, nat = 10, ntyp = 3
/
ATOMIC_SPECIES
Tb 158.93 Tb.upf
Zn 65.41 Zn.upf
Rh 102.91 Rh.upf
ATOMIC_POSITIONS crystal
Tb 0.196 0.196 0.804
Tb 0.213 0.580 0.420
Tb 0.420 0.787 0.213
Tb 0.580 0.213 0.787
Tb 0.787 0.420 0.580
Tb 0.804 0.804 0.196
Zn 0.195 0.805 0.805
Zn 0.805 0.195 0.195
Rh 0.250 0.250 0.250
Rh 0.750 0.750 0.750
CELL_PARAMETERS angstrom
0.000 4.730 8.079
3.156 0.000 8.079
3.156 4.730 0.000
```


[10]
Here is a relaxed Tb4ZnRh4 crystal from the Alexandria database. Energies are from PBE-GGA. Values from VASP.

Output
Formation enthalpy at 0 K = -0.62 eV/atom
Energy = -109.62 eV for the cell shown
Space-group type = P4_2/n, No. 86

Cell and atoms, written as Quantum ESPRESSO input:
```
&SYSTEM
  ibrav = 0, nat = 18, ntyp = 3
/
ATOMIC_SPECIES
Tb 158.93 Tb.upf
Zn 65.41 Zn.upf
Rh 102.91 Rh.upf
ATOMIC_POSITIONS crystal
Tb 0.047 0.817 0.119
Tb 0.183 0.547 0.619
Tb 0.317 0.953 0.619
Tb 0.453 0.683 0.119
Tb 0.547 0.317 0.881
Tb 0.683 0.047 0.381
Tb 0.817 0.453 0.381
Tb 0.953 0.183 0.881
Zn 0.250 0.250 0.250
Zn 0.750 0.750 0.750
Rh 0.002 0.861 0.618
Rh 0.139 0.502 0.118
Rh 0.361 0.998 0.118
Rh 0.498 0.639 0.618
Rh 0.502 0.361 0.382
Rh 0.639 0.002 0.882
Rh 0.861 0.498 0.882
Rh 0.998 0.139 0.382
CELL_PARAMETERS angstrom
8.474 0.000 0.000
0.000 8.474 0.000
0.000 0.000 5.521
```


[11]
Here is a relaxed Tb6Zn5Rh crystal from the Alexandria database. Energies are from PBE-GGA. Values from VASP.

Output
Formation enthalpy at 0 K = -0.44 eV/atom
Energy = -46.80 eV for the cell shown
Space-group type = P2/m, No. 10

Cell and atoms, written as Quantum ESPRESSO input:
```
&SYSTEM
  ibrav = 0, nat = 12, ntyp = 3
/
ATOMIC_SPECIES
Tb 158.93 Tb.upf
Zn 65.41 Zn.upf
Rh 102.91 Rh.upf
ATOMIC_POSITIONS crystal
Tb 0.000 0.242 0.000
Tb 0.000 0.758 0.000
Tb 0.338 0.247 0.676
Tb 0.338 0.753 0.676
Tb 0.662 0.247 0.324
Tb 0.662 0.753 0.324
Zn 0.170 0.500 0.338
Zn 0.174 0.000 0.349
Zn 0.500 0.500 0.000
Zn 0.826 0.000 0.651
Zn 0.830 0.500 0.662
Rh 0.500 0.000 0.000
CELL_PARAMETERS angstrom
5.040 0.000 0.000
0.000 7.098 0.000
-2.505 0.000 7.542
```


[12]
Here is a relaxed Tb4ZnRh2 crystal from the Alexandria database. Energies are from PBE-GGA. Values from VASP.

Output
Formation enthalpy at 0 K = -0.56 eV/atom
Energy = -38.43 eV for the cell shown
Space-group type = P4/mmm, No. 123

Cell and atoms, written as Quantum ESPRESSO input:
```
&SYSTEM
  ibrav = 0, nat = 7, ntyp = 3
/
ATOMIC_SPECIES
Tb 158.93 Tb.upf
Zn 65.41 Zn.upf
Rh 102.91 Rh.upf
ATOMIC_POSITIONS crystal
Tb 0.000 0.500 0.247
Tb 0.000 0.500 0.753
Tb 0.500 0.000 0.247
Tb 0.500 0.000 0.753
Zn 0.000 0.000 0.500
Rh 0.000 0.000 0.000
Rh 0.500 0.500 0.500
CELL_PARAMETERS angstrom
4.880 0.000 0.000
0.000 4.880 0.000
0.000 0.000 6.965
```